Material: K2PIr
Method: DFT, PBEsol
State: relaxed

The calculation puts the total energy at -3.900 eV/atom. For the formation energy, the calculation gives 570 meV/atom.

It has space group I4/mmm (No. 139), with a = 3.854 Å, b = 3.854 Å, c = 10.287 Å, α = 90.00°, β = 90.00° and γ = 90.00°. The asymmetric unit holds K at (0.000, 0.500, 0.250), P at (0.000, 0.000, 0.000) and Ir at (0.000, 0.000, 0.500).

---

Material: K2PIr
Method: DFT, PBEsol
State: relaxed

The calculation puts the total energy at -3.804 eV/atom. For the formation energy, the calculation gives 667 meV/atom.

It has space group R-3m (No. 166, hexagonal axes), with a = 2.8807 Å, b = 2.8807 Å, c = 32.2835 Å, α = 90.00°, β = 90.00° and γ = 120.00°. The asymmetric unit holds K at (0.0000, 0.0000, 0.2492), P at (0.0000, 0.0000, 0.5000) and Ir at (0.0000, 0.0000, 0.0000).

---

Material: K2IrPb
Method: DFT, PBEsol
State: relaxed

The calculation puts the total energy at -3.369 eV/atom. For the formation energy, the calculation gives 653 meV/atom.

It has space group P4/mmm (No. 123), with a = 3.049 Å, b = 3.049 Å, c = 10.990 Å, α = 90.00°, β = 90.00° and γ = 90.00°. The asymmetric unit holds K at (0.000, 0.000, 0.217), Ir at (0.500, 0.500, 0.000) and Pb at (0.500, 0.500, 0.500).

---

Material: KIrPb2
Method: DFT, PBEsol
State: relaxed

The calculation puts the total energy at -4.496 eV/atom. For the formation energy, the calculation gives 243 meV/atom.

It has space group Immm (No. 71), with a = 3.212 Å, b = 5.955 Å, c = 11.194 Å, α = 90.00°, β = 90.00° and γ = 90.00°. The asymmetric unit holds K at (0.000, 0.000, 0.000), Ir at (0.000, 0.000, 0.500) and Pb at (0.000, 0.500, 0.197).

---

Material: KIrPb2
Method: DFT, PBEsol
State: relaxed

The calculation puts the total energy at -4.639 eV/atom. For the formation energy, the calculation gives 100 meV/atom.

It has space group Pmmm (No. 47), with a = 3.247 Å, b = 3.587 Å, c = 8.587 Å, α = 90.00°, β = 90.00° and γ = 90.00°. The asymmetric unit holds K at (0.000, 0.000, 0.000), Ir at (0.000, 0.000, 0.500) and Pb at (0.500, 0.500, 0.312).

---

Material: K2IrPb
Method: DFT, PBEsol
State: relaxed

The calculation puts the total energy at -3.632 eV/atom. For the formation energy, the calculation gives 390 meV/atom.

It has space group Imm2 (No. 44), with a = 4.059 Å, b = 5.720 Å, c = 10.769 Å, α = 90.00°, β = 90.00° and γ = 90.00°. The asymmetric unit holds K at (0.000, 0.000, 0.000), K at (0.000, 0.500, 0.196), Ir at (0.000, 0.000, 0.437) and Pb at (0.000, 0.500, 0.787).

---

Material: KSrIrPb2
Method: DFT, PBEsol
State: relaxed

The calculation puts the total energy at -2.451 eV/atom. For the formation energy, the calculation gives 1708 meV/atom.

It has space group P4/mmm (No. 123), with a = 5.502 Å, b = 5.502 Å, c = 5.506 Å, α = 90.00°, β = 90.00° and γ = 90.00°. The asymmetric unit holds K at (0.000, 0.000, 0.000), Sr at (0.000, 0.000, 0.500), Ir at (0.500, 0.500, 0.500) and Pb at (0.000, 0.500, 0.000).

---

Material: KIrPt
Method: DFT, PBEsol
State: relaxed

The calculation puts the total energy at -5.153 eV/atom. Its relative energy among the computed polymorphs is 0 meV per atom. For the formation energy, the calculation gives 820 meV/atom.

It has space group P-6m2 (No. 187), with a = 4.8149 Å, b = 4.8149 Å, c = 2.6824 Å, α = 90.00°, β = 90.00° and γ = 120.00°. The asymmetric unit holds K at (0.0000, 0.0000, 0.0000), Ir at (0.6667, 0.3333, 0.5000) and Pt at (0.3333, 0.6667, 0.5000).

---

Material: KIrPt
Method: DFT, PBEsol
State: relaxed

The calculation puts the total energy at -4.622 eV/atom. Its relative energy among the computed polymorphs is 531 meV per atom. For the formation energy, the calculation gives 1352 meV/atom.

It has space group F-43m (No. 216), with a = 6.381 Å, b = 6.381 Å, c = 6.381 Å, α = 90.00°, β = 90.00° and γ = 90.00°. The asymmetric unit holds K at (0.000, 0.000, 0.000), Ir at (0.000, 0.000, 0.500) and Pt at (0.250, 0.250, 0.250).

---

Material: KIrPt2
Method: DFT, PBEsol
State: relaxed

The calculation puts the total energy at -5.816 eV/atom. Its relative energy among the computed polymorphs is 0 meV per atom. For the formation energy, the calculation gives 405 meV/atom.

It has space group C2/m (No. 12), with a = 8.589 Å, b = 2.696 Å, c = 6.949 Å, α = 90.00°, β = 94.93° and γ = 90.00°. The asymmetric unit holds K at (0.000, 0.000, 0.000), Ir at (0.000, 0.500, 0.500) and Pt at (0.240, 0.000, 0.669).

---

Material: KIrPt2
Method: DFT, PBEsol
State: relaxed

The calculation puts the total energy at -5.770 eV/atom. Its relative energy among the computed polymorphs is 46 meV per atom. For the formation energy, the calculation gives 451 meV/atom.

It has space group Cmmm (No. 65), with a = 5.842 Å, b = 8.231 Å, c = 2.706 Å, α = 90.00°, β = 90.00° and γ = 90.00°. The asymmetric unit holds K at (0.000, 0.000, 0.000), Ir at (0.000, 0.500, 0.000) and Pt at (0.250, 0.250, 0.500).

---

Material: KTeIr2Pt
Method: DFT, PBEsol
State: relaxed

The calculation puts the total energy at -4.490 eV/atom.

It has space group P4/mmm (No. 123), with a = 4.797 Å, b = 4.797 Å, c = 5.650 Å, α = 90.00°, β = 90.00° and γ = 90.00°. The asymmetric unit holds K at (0.000, 0.000, 0.000), Te at (0.000, 0.000, 0.500), Ir at (0.000, 0.500, 0.500) and Pt at (0.500, 0.500, 0.000).